Record 1
First-principles (PBE-GGA) data for a relaxed structure of ZrCdAgHg, as listed in the Alexandria database.

The structure belongs to space group P4mm (No. 99); the cell edges are 3.1818, 3.1818 and 8.1680 Å and the angles 90.00°, 90.00° and 90.00°. The asymmetric unit holds Zr at (0.0000, 0.0000, 0.0000), Cd at (0.5000, 0.5000, 0.2651), Ag at (0.0000, 0.0000, 0.5003) and Hg at (0.5000, 0.5000, 0.7450).

The energy relative to the elements comes out at -0.08 eV/atom.


Record 2
First-principles (PBE-GGA) data for a relaxed structure of ZrCd2AgHg, as listed in the Alexandria database.

The structure belongs to space group P2_1/m (No. 11); the cell edges are 6.9490, 4.3532 and 7.0189 Å and the angles 90.00°, 91.59° and 90.00°. The asymmetric unit holds Zr at (0.0574, 0.2500, 0.3512), Cd at (0.1623, 0.7500, 0.0507), Cd at (0.4627, 0.2500, 0.1560), Ag at (0.2243, 0.2500, 0.7724) and Hg at (0.3408, 0.7500, 0.4652).

The energy relative to the elements comes out at -0.02 eV/atom.


Record 3
First-principles (PBE-GGA) data for a relaxed structure of ZrCdAgHg, as listed in the Alexandria database.

The structure belongs to space group F-43m (No. 216); the cell edges are 6.8888, 6.8888 and 6.8888 Å and the angles 90.00°, 90.00° and 90.00°. The asymmetric unit holds Zr at (0.0000, 0.0000, 0.0000), Cd at (0.0000, 0.0000, 0.5000), Ag at (0.2500, 0.2500, 0.7500) and Hg at (0.2500, 0.2500, 0.2500).

The energy relative to the elements comes out at -0.07 eV/atom.


Record 4
First-principles (PBE-GGA) data for a relaxed structure of HoCd4Ag7, as listed in the Alexandria database.

The structure belongs to space group C2/m (No. 12); the cell edges are 10.8416, 5.2534 and 10.4039 Å and the angles 90.00°, 120.38° and 90.00°. The asymmetric unit holds Ho at (0.0000, 0.0000, 0.0000), Cd at (0.0905, 0.5000, 0.3150), Cd at (0.1814, 0.0000, 0.7749), Ag at (0.0000, 0.5000, 0.0000), Ag at (0.1113, 0.0000, 0.4593), Ag at (0.1692, 0.5000, 0.6249) and Ag at (0.1983, 0.5000, 0.9110).

The energy relative to the elements comes out at 0.05 eV/atom.


Record 5
First-principles (PBE-GGA) data for a relaxed structure of Ho6CdAg, as listed in the Alexandria database.

The structure belongs to space group P-1 (No. 2); the cell edges are 6.0596, 6.0622 and 6.0693 Å and the angles 93.01°, 92.99° and 93.04°. The asymmetric unit holds Ho at (0.0236, 0.2533, 0.0460), Ho at (0.2466, 0.9546, 0.4747), Ho at (0.4547, 0.4757, 0.7467), Cd at (0.5000, 0.0000, 0.0000) and Ag at (0.0000, 0.5000, 0.5000).

The energy relative to the elements comes out at -0.03 eV/atom.


Record 6
First-principles (PBE-GGA) data for a relaxed structure of Ho4CdAg3, as listed in the Alexandria database.

The structure belongs to space group Pmm2 (No. 25); the cell edges are 3.6110, 4.8602 and 11.3130 Å and the angles 90.00°, 90.00° and 90.00°. The asymmetric unit holds Ho at (0.0000, 0.0000, 0.0000), Ho at (0.0000, 0.5000, 0.2846), Ho at (0.5000, 0.0000, 0.4849), Ho at (0.5000, 0.5000, 0.7955), Cd at (0.0000, 0.0000, 0.7186), Ag at (0.0000, 0.5000, 0.5607), Ag at (0.5000, 0.0000, 0.2191) and Ag at (0.5000, 0.5000, 0.0646).

The energy relative to the elements comes out at -0.27 eV/atom.


Record 7
First-principles (PBE-GGA) data for a relaxed structure of HoCd8Ag4, as listed in the Alexandria database.

The structure belongs to space group I4/mmm (No. 139); the cell edges are 9.9088, 9.9088 and 5.6294 Å and the angles 90.00°, 90.00° and 90.00°. The asymmetric unit holds Ho at (0.0000, 0.0000, 0.0000), Cd at (0.0000, 0.2105, 0.5000), Cd at (0.0000, 0.3434, 0.0000) and Ag at (0.2500, 0.2500, 0.2500).

The energy relative to the elements comes out at -0.11 eV/atom.


Record 8
First-principles (PBE-GGA) data for a relaxed structure of Ho8CdAg2, as listed in the Alexandria database.

The structure belongs to space group C2/m (No. 12); the cell edges are 15.9278, 5.2711 and 8.3118 Å and the angles 90.00°, 120.22° and 90.00°. The asymmetric unit holds Ho at (0.0665, 0.0000, 0.2231), Ho at (0.0990, 0.5000, 0.9608), Ho at (0.1426, 0.0000, 0.6966), Ho at (0.1839, 0.5000, 0.4583), Cd at (0.0000, 0.5000, 0.5000) and Ag at (0.2237, 0.0000, 0.1210).

The energy relative to the elements comes out at -0.13 eV/atom.


Record 9
First-principles (PBE-GGA) data for a relaxed structure of Ho3CdAg2, as listed in the Alexandria database.

The structure belongs to space group P4/mmm (No. 123); the cell edges are 3.6538, 3.6538 and 10.9696 Å and the angles 90.00°, 90.00° and 90.00°. The asymmetric unit holds Ho at (0.0000, 0.0000, 0.0000), Ho at (0.0000, 0.0000, 0.3265), Cd at (0.5000, 0.5000, 0.5000) and Ag at (0.5000, 0.5000, 0.1659).

The energy relative to the elements comes out at -0.32 eV/atom.


Record 10
First-principles (PBE-GGA) data for a relaxed structure of HoCd2Ag2, as listed in the Alexandria database.

The structure belongs to space group P-1 (No. 2); the cell edges are 4.9278, 4.9807 and 5.6809 Å and the angles 66.26°, 64.95° and 60.36°. The asymmetric unit holds Ho at (0.0000, 0.0000, 0.0000), Cd at (0.2149, 0.2209, 0.3572) and Ag at (0.4083, 0.3997, 0.7751).

The energy relative to the elements comes out at -0.22 eV/atom.


Record 11
First-principles (PBE-GGA) data for a relaxed structure of Ho2Cd5Ag, as listed in the Alexandria database.

The structure belongs to space group R-3m (No. 166, hexagonal axes); the cell edges are 4.6951, 4.6951 and 32.5658 Å and the angles 90.00°, 90.00° and 120.00°. The asymmetric unit holds Ho at (0.0000, 0.0000, 0.0918), Cd at (0.0000, 0.0000, 0.1967), Cd at (0.0000, 0.0000, 0.3655), Cd at (0.0000, 0.0000, 0.5000) and Ag at (0.0000, 0.0000, 0.0000).

The energy relative to the elements comes out at -0.05 eV/atom.


Record 12
First-principles (PBE-GGA) data for a relaxed structure of Ho8CdAg2, as listed in the Alexandria database.

The structure belongs to space group C2/m (No. 12); the cell edges are 8.6177, 14.2918 and 5.4238 Å and the angles 90.00°, 109.64° and 90.00°. The asymmetric unit holds Ho at (0.0000, 0.2244, 0.0000), Ho at (0.1060, 0.5000, 0.8025), Ho at (0.2114, 0.1169, 0.6067), Cd at (0.0000, 0.0000, 0.0000) and Ag at (0.0000, 0.3031, 0.5000).

The energy relative to the elements comes out at -0.02 eV/atom.


Record 13
First-principles (PBE-GGA) data for a relaxed structure of HoCd2Ag, as listed in the Alexandria database.

The structure belongs to space group I-4m2 (No. 119); the cell edges are 4.9743, 4.9743 and 7.0888 Å and the angles 90.00°, 90.00° and 90.00°. The asymmetric unit holds Ho at (0.0000, 0.0000, 0.0000), Cd at (0.0000, 0.0000, 0.5000), Cd at (0.0000, 0.5000, 0.7500) and Ag at (0.0000, 0.5000, 0.2500).

The energy relative to the elements comes out at -0.28 eV/atom.


Record 14
First-principles (PBE-GGA) data for a relaxed structure of Ho7Cd2Ag2, as listed in the Alexandria database.

The structure belongs to space group Cmmm (No. 65); the cell edges are 7.8575, 11.0706 and 7.4446 Å and the angles 90.00°, 90.00° and 90.00°. The asymmetric unit holds Ho at (0.0000, 0.0000, 0.0000), Ho at (0.0000, 0.5000, 0.2570), Ho at (0.2500, 0.2500, 0.2740), Cd at (0.1752, 0.0000, 0.5000) and Ag at (0.0000, 0.2946, 0.0000).

The energy relative to the elements comes out at 0.04 eV/atom.


Record 15
First-principles (PBE-GGA) data for a relaxed structure of Ho4CdAg2, as listed in the Alexandria database.

The structure belongs to space group R-3m (No. 166, hexagonal axes); the cell edges are 5.1210, 5.1210 and 24.5402 Å and the angles 90.00°, 90.00° and 120.00°. The asymmetric unit holds Ho at (0.0000, 0.0000, 0.1177), Ho at (0.0000, 0.0000, 0.3702), Cd at (0.0000, 0.0000, 0.5000) and Ag at (0.0000, 0.0000, 0.2463).

The energy relative to the elements comes out at -0.16 eV/atom.


Record 16
First-principles (PBE-GGA) data for a relaxed structure of Ho2Cd6Ag3, as listed in the Alexandria database.

The structure belongs to space group P-62m (No. 189); the cell edges are 7.9852, 7.9852 and 4.6605 Å and the angles 90.00°, 90.00° and 120.00°. The asymmetric unit holds Ho at (0.3333, 0.6667, 0.0000), Cd at (0.0000, 0.2153, 0.0000), Cd at (0.0000, 0.7487, 0.5000) and Ag at (0.0000, 0.4136, 0.5000).

The energy relative to the elements comes out at -0.09 eV/atom.


Record 17
First-principles (PBE-GGA) data for a relaxed structure of Ho4Cd3Ag2, as listed in the Alexandria database.

The structure belongs to space group P-3m1 (No. 164); the cell edges are 5.0975, 5.0975 and 9.7616 Å and the angles 90.00°, 90.00° and 120.00°. The asymmetric unit holds Ho at (0.0000, 0.0000, 0.1698), Ho at (0.3333, 0.6667, 0.6182), Cd at (0.0000, 0.0000, 0.5000), Cd at (0.3333, 0.6667, 0.9894) and Ag at (0.3333, 0.6667, 0.3080).

The energy relative to the elements comes out at -0.27 eV/atom.


Record 18
First-principles (PBE-GGA) data for a relaxed structure of HoCd15Ag4, as listed in the Alexandria database.

The structure belongs to space group P4/mmm (No. 123); the cell edges are 4.4246, 4.4246 and 21.8152 Å and the angles 90.00°, 90.00° and 90.00°. The asymmetric unit holds Ho at (0.0000, 0.0000, 0.0000), Cd at (0.0000, 0.5000, 0.1080), Cd at (0.0000, 0.5000, 0.3043), Cd at (0.0000, 0.5000, 0.5000), Cd at (0.5000, 0.5000, 0.0000), Cd at (0.5000, 0.5000, 0.2082), Cd at (0.5000, 0.5000, 0.4014), Ag at (0.0000, 0.0000, 0.2040) and Ag at (0.0000, 0.0000, 0.4041).

The energy relative to the elements comes out at -0.07 eV/atom.


Record 19
First-principles (PBE-GGA) data for a relaxed structure of HoCd2Ag6, as listed in the Alexandria database.

The structure belongs to space group Immm (No. 71); the cell edges are 3.1183, 8.2517 and 14.2668 Å and the angles 90.00°, 90.00° and 90.00°. The asymmetric unit holds Ho at (0.0000, 0.0000, 0.0000), Cd at (0.0000, 0.5000, 0.1503), Ag at (0.0000, 0.1716, 0.5000) and Ag at (0.0000, 0.3268, 0.3269).

The energy relative to the elements comes out at -0.04 eV/atom.


Record 20
First-principles (PBE-GGA) data for a relaxed structure of HoCd2Ag3, as listed in the Alexandria database.

The structure belongs to space group Fmmm (No. 69); the cell edges are 5.7168, 9.0122 and 20.2449 Å and the angles 90.00°, 90.00° and 90.00°. The asymmetric unit holds Ho at (0.0000, 0.0000, 0.1460), Cd at (0.2404, 0.0000, 0.0000), Cd at (0.2500, 0.2500, 0.2500), Ag at (0.0000, 0.0000, 0.2957) and Ag at (0.0000, 0.1899, 0.4084).

The energy relative to the elements comes out at -0.10 eV/atom.